1.
Material: BiIrO3
Method: DFT, GGA-PBE
State: relaxed

Cell: 6.026 5.570 8.254 Å, 90.00 90.00 90.00°
Fractional positions:
Bi (0.250, 0.000, 0.125)
Bi (0.250, 0.000, 0.625)
Bi (0.750, 0.000, 0.375)
Bi (0.750, 0.000, 0.875)
Ir (0.250, 0.500, 0.356)
Ir (0.250, 0.500, 0.856)
Ir (0.750, 0.500, 0.144)
Ir (0.750, 0.500, 0.644)
O (0.000, 0.348, 0.250)
O (0.000, 0.652, 0.750)
O (0.097, 0.188, 0.906)
O (0.097, 0.812, 0.406)
O (0.403, 0.188, 0.406)
O (0.403, 0.812, 0.906)
O (0.500, 0.348, 0.750)
O (0.500, 0.652, 0.250)
O (0.597, 0.188, 0.094)
O (0.597, 0.812, 0.594)
O (0.903, 0.188, 0.594)
O (0.903, 0.812, 0.094)

Output
Uncorrected energy in eV per atom: -6.11
Total moment in μB per atom: 0.0006

=====

2.
Material: HoLuNO
Method: DFT, GGA-PBE
State: relaxed

Cell: 4.758 4.758 4.715 Å, 90.00 90.00 90.00°
Fractional positions:
Ho (0.250, 0.750, 0.000)
Ho (0.750, 0.250, 0.000)
Lu (0.250, 0.250, 0.499)
Lu (0.750, 0.750, 0.501)
N (0.250, 0.250, 0.999)
N (0.750, 0.750, 0.001)
O (0.250, 0.750, 0.500)
O (0.750, 0.250, 0.500)

Output
Uncorrected energy in eV per atom: -7.95
Total moment in μB per atom: 0.0004

=====

3.
Material: ZnCoTcB
Method: DFT, GGA-PBE
State: relaxed

Cell: 4.029 4.029 4.029 Å, 60.00 60.00 60.00°
Fractional positions:
Zn (0.000, 0.000, 0.000)
Co (0.500, 0.500, 0.500)
Tc (0.750, 0.750, 0.750)
B (0.250, 0.250, 0.250)

Output
Uncorrected energy in eV per atom: -5.66
Total moment in μB per atom: 0.5489

=====

4.
Material: Hf2Nb4In3C3
Method: DFT, GGA-PBE
State: relaxed

Cell: 5.578 5.578 15.051 Å, 100.70 100.70 60.07°
Fractional positions:
Hf (0.029, 0.865, 0.588)
Hf (0.135, 0.971, 0.912)
Hf (0.865, 0.029, 0.088)
Hf (0.971, 0.135, 0.412)
Nb (0.194, 0.358, 0.081)
Nb (0.304, 0.476, 0.419)
Nb (0.358, 0.194, 0.581)
Nb (0.476, 0.304, 0.919)
Nb (0.524, 0.696, 0.081)
Nb (0.642, 0.806, 0.419)
Nb (0.696, 0.524, 0.581)
Nb (0.806, 0.642, 0.919)
In (0.083, 0.264, 0.751)
In (0.264, 0.083, 0.251)
In (0.429, 0.571, 0.750)
In (0.571, 0.429, 0.250)
In (0.736, 0.917, 0.749)
In (0.917, 0.736, 0.249)
C (0.000, 0.500, 0.500)
C (0.167, 0.666, 0.000)
C (0.334, 0.833, 0.500)
C (0.500, 0.000, 0.000)
C (0.666, 0.167, 0.500)
C (0.833, 0.334, 0.000)

Output
Uncorrected energy in eV per atom: -8.54
Total moment in μB per atom: 0.0003

=====

5.
Material: CsYNiS3
Method: DFT, GGA-PBE
State: relaxed

Cell: 9.313 3.953 9.657 Å, 90.00 111.62 90.00°
Fractional positions:
Cs (0.216, 0.250, 0.247)
Cs (0.784, 0.750, 0.753)
Y (0.328, 0.750, 0.861)
Y (0.672, 0.250, 0.139)
Ni (0.077, 0.250, 0.597)
Ni (0.923, 0.750, 0.403)
S (0.120, 0.250, 0.846)
S (0.170, 0.750, 0.548)
S (0.477, 0.750, 0.159)
S (0.523, 0.250, 0.841)
S (0.830, 0.250, 0.452)
S (0.880, 0.750, 0.154)

Output
Uncorrected energy in eV per atom: -5.52
Total moment in μB per atom: 0.2105

=====

6.
Material: BaGdSeO
Method: DFT, GGA-PBE
State: relaxed

Cell: 10.430 10.430 10.430 Å, 27.48 27.48 27.48°
Fractional positions:
Ba (0.125, 0.125, 0.125)
Ba (0.875, 0.875, 0.875)
Gd (0.286, 0.286, 0.286)
Gd (0.714, 0.714, 0.714)
Se (0.386, 0.386, 0.386)
Se (0.614, 0.614, 0.614)
O (0.214, 0.214, 0.214)
O (0.786, 0.786, 0.786)

Output
Uncorrected energy in eV per atom: -5.79
Total moment in μB per atom: 0.0835

=====

7.
Material: Lu2Pt
Method: DFT, GGA-PBE
State: relaxed

Cell: 5.737 5.737 5.737 Å, 60.00 60.00 60.00°
Fractional positions:
Lu (0.000, 0.000, 0.000)
Lu (0.000, 0.000, 0.500)
Lu (0.000, 0.500, 0.000)
Lu (0.500, 0.000, 0.000)
Pt (0.375, 0.375, 0.375)
Pt (0.625, 0.625, 0.625)

Output
Uncorrected energy in eV per atom: -4.80
Calculated formation energy in eV/atom: 0.238
Total moment in μB per atom: 0.0001

=====

8.
Material: GdYZn2Sn2
Method: DFT, GGA-PBE
State: relaxed

Cell: 4.515 4.515 15.898 Å, 90.00 90.00 120.00°
Fractional positions:
Gd (0.000, 0.000, 0.000)
Gd (0.000, 0.000, 0.500)
Y (0.000, 0.000, 0.250)
Y (0.000, 0.000, 0.750)
Zn (0.333, 0.667, 0.159)
Zn (0.333, 0.667, 0.341)
Zn (0.667, 0.333, 0.659)
Zn (0.667, 0.333, 0.841)
Sn (0.333, 0.667, 0.614)
Sn (0.333, 0.667, 0.886)
Sn (0.667, 0.333, 0.114)
Sn (0.667, 0.333, 0.386)

Output
Uncorrected energy in eV per atom: -4.22
Total moment in μB per atom: 0.0002

=====

9.
Material: PmTlSi
Method: DFT, GGA-PBE
State: relaxed

Cell: 4.868 4.868 4.868 Å, 60.00 60.00 60.00°
Fractional positions:
Pm (0.000, 0.000, 0.000)
Tl (0.500, 0.500, 0.500)
Si (0.250, 0.250, 0.250)

Output
Uncorrected energy in eV per atom: -4.27
Total moment in μB per atom: 0.0070

=====

10.
Material: GaHPd3
Method: DFT, GGA-PBE
State: relaxed

Cell: 5.594 5.594 4.049 Å, 90.00 90.00 90.00°
Fractional positions:
Ga (0.000, 0.500, 0.000)
Ga (0.500, 0.000, 0.000)
H (0.000, 0.000, 0.490)
H (0.500, 0.500, 0.490)
Pd (0.000, 0.000, 0.999)
Pd (0.207, 0.293, 0.500)
Pd (0.293, 0.793, 0.500)
Pd (0.500, 0.500, 0.999)
Pd (0.707, 0.207, 0.500)
Pd (0.793, 0.707, 0.500)

Output
Uncorrected energy in eV per atom: -4.84

=====

11.
Material: DyInAsO
Method: DFT, GGA-PBE
State: relaxed

Cell: 5.507 5.940 5.794 Å, 90.00 90.00 90.00°
Fractional positions:
Dy (0.000, 0.185, 0.000)
Dy (0.000, 0.815, 0.500)
In (0.500, 0.228, 0.398)
In (0.500, 0.772, 0.898)
As (0.500, 0.276, 0.888)
As (0.500, 0.724, 0.388)
O (0.000, 0.141, 0.360)
O (0.000, 0.859, 0.860)

Output
Uncorrected energy in eV per atom: -5.62
Total moment in μB per atom: 0.0000

=====

12.
Material: PmHoTa
Method: DFT, GGA-PBE
State: relaxed

Cell: 5.029 5.029 5.029 Å, 60.00 60.00 60.00°
Fractional positions:
Pm (0.000, 0.000, 0.000)
Ho (0.250, 0.250, 0.250)
Ta (0.500, 0.500, 0.500)

Output
Uncorrected energy in eV per atom: -5.77
Calculated formation energy in eV/atom: 1.286
Total moment in μB per atom: 0.4978

=====

13.
Material: Mg2CuWN4
Method: DFT, GGA-PBE
State: relaxed

Cell: 2.938 2.938 10.375 Å, 90.00 90.00 120.00°
Fractional positions:
Mg (0.000, 0.000, 0.241)
Mg (0.000, 0.000, 0.759)
Cu (0.667, 0.333, 0.000)
W (0.333, 0.667, 0.500)
N (0.333, 0.667, 0.117)
N (0.333, 0.667, 0.883)
N (0.667, 0.333, 0.376)
N (0.667, 0.333, 0.624)

Output
Uncorrected energy in eV per atom: -6.81
Total moment in μB per atom: 0.0009

=====

14.
Material: LiCuSiMo
Method: DFT, GGA-PBE
State: relaxed

Cell: 4.148 4.148 4.148 Å, 60.00 60.00 60.00°
Fractional positions:
Li (0.000, 0.000, 0.000)
Cu (0.750, 0.750, 0.750)
Si (0.500, 0.500, 0.500)
Mo (0.250, 0.250, 0.250)

Output
Uncorrected energy in eV per atom: -5.43
Total moment in μB per atom: 0.1194

=====

15.
Material: DyGaPbS3
Method: DFT, GGA-PBE
State: relaxed

Cell: 7.626 7.626 10.676 Å, 90.00 90.00 150.00°
Fractional positions:
Dy (0.000, 0.000, 0.000)
Dy (0.000, 0.000, 0.500)
Ga (0.365, 0.635, 0.750)
Ga (0.635, 0.365, 0.250)
Pb (0.295, 0.705, 0.250)
Pb (0.705, 0.295, 0.750)
S (0.032, 0.968, 0.250)
S (0.372, 0.628, 0.010)
S (0.372, 0.628, 0.490)
S (0.628, 0.372, 0.510)
S (0.628, 0.372, 0.990)
S (0.968, 0.032, 0.750)

Output
Uncorrected energy in eV per atom: -4.95
Total moment in μB per atom: 0.0005

=====

16.
Material: ErBi
Method: DFT, GGA-PBE
State: relaxed

Cell: 5.065 5.065 6.227 Å, 90.00 90.00 120.00°
Fractional positions:
Er (0.333, 0.667, 0.000)
Er (0.667, 0.333, 0.500)
Bi (0.333, 0.667, 0.501)
Bi (0.667, 0.333, 0.001)

Output
Uncorrected energy in eV per atom: -4.83
Total moment in μB per atom: 0.0003

=====

17.
Material: PrOF
Method: DFT, GGA-PBE
State: relaxed

Cell: 7.231 6.766 5.964 Å, 68.90 60.80 50.30°
Fractional positions:
Pr (0.075, 0.675, 0.075)
Pr (0.325, 0.925, 0.325)
Pr (0.675, 0.075, 0.675)
Pr (0.925, 0.325, 0.925)
O (0.007, 0.007, 0.743)
O (0.257, 0.257, 0.993)
O (0.743, 0.743, 0.007)
O (0.993, 0.993, 0.257)
F (0.000, 0.500, 0.500)
F (0.500, 0.000, 0.500)
F (0.500, 0.500, 0.000)
F (0.500, 0.500, 0.500)

Output
Uncorrected energy in eV per atom: -7.51
Total moment in μB per atom: 0.0000

=====

18.
Material: ScZnPt
Method: DFT, GGA-PBE
State: relaxed

Cell: 5.096 5.096 5.281 Å, 90.00 90.00 130.33°
Fractional positions:
Sc (0.210, 0.790, 0.750)
Sc (0.790, 0.210, 0.250)
Zn (0.500, 0.500, 0.000)
Zn (0.500, 0.500, 0.500)
Pt (0.100, 0.900, 0.250)
Pt (0.900, 0.100, 0.750)

Output
Uncorrected energy in eV per atom: -5.49
Calculated formation energy in eV/atom: -0.945
Total moment in μB per atom: 0.0004

=====

19.
Material: AcLuSn
Method: DFT, GGA-PBE
State: relaxed

Cell: 5.511 5.511 5.511 Å, 60.00 60.00 60.00°
Fractional positions:
Ac (0.000, 0.000, 0.000)
Lu (0.750, 0.750, 0.750)
Sn (0.250, 0.250, 0.250)

Output
Uncorrected energy in eV per atom: -3.90
Total moment in μB per atom: 0.0016

=====

20.
Material: RbSmCdTe3
Method: DFT, GGA-PBE
State: relaxed

Cell: 9.448 4.580 11.286 Å, 90.00 108.89 90.00°
Fractional positions:
Rb (0.245, 0.250, 0.274)
Rb (0.755, 0.750, 0.726)
Sm (0.317, 0.750, 0.866)
Sm (0.683, 0.250, 0.134)
Cd (0.081, 0.250, 0.613)
Cd (0.919, 0.750, 0.387)
Te (0.082, 0.250, 0.862)
Te (0.236, 0.750, 0.555)
Te (0.464, 0.750, 0.153)
Te (0.536, 0.250, 0.847)
Te (0.764, 0.250, 0.445)
Te (0.918, 0.750, 0.138)

Output
Uncorrected energy in eV per atom: -3.74
Total moment in μB per atom: 0.0003

=====

21.
Material: KNdNO
Method: DFT, GGA-PBE
State: relaxed

Cell: 4.156 7.293 6.167 Å, 90.00 90.00 90.00°
Fractional positions:
K (0.000, 0.177, 0.000)
K (0.000, 0.823, 0.500)
Nd (0.500, 0.336, 0.524)
Nd (0.500, 0.664, 0.024)
N (0.000, 0.198, 0.459)
N (0.000, 0.802, 0.959)
O (0.500, 0.382, 0.883)
O (0.500, 0.618, 0.383)

Output
Uncorrected energy in eV per atom: -5.94
Total moment in μB per atom: 0.2503

=====

22.
Material: LiCdGeAu
Method: DFT, GGA-PBE
State: relaxed

Cell: 4.666 4.666 4.666 Å, 60.00 60.00 60.00°
Fractional positions:
Li (0.000, 0.000, 0.000)
Cd (0.250, 0.250, 0.250)
Ge (0.500, 0.500, 0.500)
Au (0.750, 0.750, 0.750)

Output
Uncorrected energy in eV per atom: -2.87

=====

23.
Material: Ho3Tm3FeBi2
Method: DFT, GGA-PBE
State: relaxed

Cell: 8.254 8.254 4.115 Å, 90.00 90.00 120.00°
Fractional positions:
Ho (0.000, 0.607, 0.000)
Ho (0.393, 0.393, 0.000)
Ho (0.607, 0.000, 0.000)
Tm (0.000, 0.228, 0.500)
Tm (0.228, 0.000, 0.500)
Tm (0.772, 0.772, 0.500)
Fe (0.000, 0.000, 0.000)
Bi (0.333, 0.667, 0.500)
Bi (0.667, 0.333, 0.500)

Output
Uncorrected energy in eV per atom: -5.29
Total moment in μB per atom: 0.0798

=====

24.
Material: AlZnFe2
Method: DFT, GGA-PBE
State: relaxed

Cell: 4.140 4.140 4.140 Å, 60.00 60.00 60.00°
Fractional positions:
Al (0.000, 0.000, 0.000)
Zn (0.750, 0.750, 0.750)
Fe (0.250, 0.250, 0.250)
Fe (0.500, 0.500, 0.500)

Output
Uncorrected energy in eV per atom: -5.50
Total moment in μB per atom: 1.0015